Entry 1:
SiSbBr2: relaxed, PBE-GGA.

Properties
- DFT total energy: -2.961 eV per atom
- V: 101.9 Å³ per cell
- Energy above the most stable polymorph in this dataset: 490.9 meV per atom
- Energy relative to the elements, uncorrected: 6.04 kcal/mol of atoms

a b c (Å): 3.484 3.484 9.652
angles (deg): 90.00 90.00 119.52
Positions (direct):
Br 0.000 0.000 0.963
Sb 0.500 0.500 0.250
Si 0.500 0.500 0.750
Br 0.000 0.000 0.537

Entry 2:
SiSbBr2: relaxed, PBE-GGA.

Properties
- DFT total energy: -3.185 eV per atom
- V: 132.9 Å³ per cell
- Energy above the most stable polymorph in this dataset: 266.8 meV per atom
- Energy relative to the elements, uncorrected: 0.87 kcal/mol of atoms

a b c (Å): 8.317 8.317 4.511
angles (deg): 85.72 85.72 25.29
Positions (direct):
Br 0.104 0.104 0.961
Sb 0.250 0.250 0.250
Si 0.750 0.750 0.750
Br 0.396 0.396 0.539

Entry 3:
Si2SbBr: relaxed, PBE-GGA.

Properties
- DFT total energy: -3.833 eV per atom
- V: 96.4 Å³ per cell
- Energy above the most stable polymorph in this dataset: 283.2 meV per atom
- Energy relative to the elements, uncorrected: 7.55 kcal/mol of atoms

a b c (Å): 3.441 3.441 8.881
angles (deg): 90.00 90.00 113.59
Positions (direct):
Sb 0.500 0.500 0.820
Si 0.500 0.500 0.213
Si 0.000 0.000 0.037
Br 0.000 0.000 0.429

Entry 4:
Si3SbBr: relaxed, PBE-GGA.

Properties
- DFT total energy: -3.147 eV per atom
- V: 150.9 Å³ per cell
- Energy above the most stable polymorph in this dataset: 0.0 meV per atom
- Energy relative to the elements, uncorrected: 29.18 kcal/mol of atoms

a b c (Å): 5.324 5.324 5.324
angles (deg): 90.00 90.00 90.00
Positions (direct):
Si 0.000 0.500 0.000
Br 0.500 0.500 0.500
Sb 0.000 0.000 0.000
Si 0.000 0.000 0.500
Si 0.500 0.000 0.000